P.
# LiY2Nb

Crystalline LiY2Nb at its relaxed geometry (PBE, Alexandria).

Summary:
density = 4.53 g/cm3
space-group type = R-3m, No. 166

Cell: 3.1920 3.1920 34.5989 Å, 90.00 90.00 120.00°
Atoms (fractional coordinates):
Li (0.0000, 0.0000, 0.0000)
Li (0.3333, 0.6667, 0.6667)
Li (0.6667, 0.3333, 0.3333)
Y (0.0000, 0.0000, 0.4157)
Y (0.0000, 0.0000, 0.5843)
Y (0.3333, 0.6667, 0.0824)
Y (0.3333, 0.6667, 0.2510)
Y (0.6667, 0.3333, 0.7490)
Y (0.6667, 0.3333, 0.9176)
Nb (0.0000, 0.0000, 0.5000)
Nb (0.3333, 0.6667, 0.1667)
Nb (0.6667, 0.3333, 0.8333)


Q.
# LiY2Nb

Crystalline LiY2Nb at its relaxed geometry (PBE, Alexandria).

Summary:
density = 4.63 g/cm3
space-group type = I-42d, No. 122

Cell: 4.4403 4.4403 20.2180 Å, 90.00 90.00 90.00°
Atoms (fractional coordinates):
Li (0.0000, 0.0000, 0.0000)
Li (0.0000, 0.5000, 0.2500)
Li (0.5000, 0.0000, 0.7500)
Li (0.5000, 0.5000, 0.5000)
Y (0.2482, 0.2500, 0.6250)
Y (0.2500, 0.7482, 0.8750)
Y (0.2500, 0.7518, 0.3750)
Y (0.2518, 0.2500, 0.1250)
Y (0.7482, 0.7500, 0.1250)
Y (0.7500, 0.2482, 0.3750)
Y (0.7500, 0.2518, 0.8750)
Y (0.7518, 0.7500, 0.6250)
Nb (0.0000, 0.0000, 0.5000)
Nb (0.0000, 0.5000, 0.7500)
Nb (0.5000, 0.0000, 0.2500)
Nb (0.5000, 0.5000, 0.0000)


Relative energy table, unit meV/atom: P 0; Q 222


P.
# LiY2Nb2

Crystalline LiY2Nb2 at its relaxed geometry (PBE, Alexandria).

Summary:
density = 4.62 g/cm3
space-group type = I4/mmm, No. 139

Cell: 4.4145 4.4145 13.6646 Å, 90.00 90.00 90.00°
Atoms (fractional coordinates):
Li (0.0000, 0.0000, 0.0000)
Li (0.5000, 0.5000, 0.5000)
Y (0.0000, 0.5000, 0.2500)
Y (0.0000, 0.5000, 0.7500)
Y (0.5000, 0.0000, 0.2500)
Y (0.5000, 0.0000, 0.7500)
Nb (0.0000, 0.0000, 0.4179)
Nb (0.0000, 0.0000, 0.5821)
Nb (0.5000, 0.5000, 0.0821)
Nb (0.5000, 0.5000, 0.9179)


Q.
# LiY2Nb2

Crystalline LiY2Nb2 at its relaxed geometry (PBE, Alexandria).

Summary:
density = 4.76 g/cm3
space-group type = P4/mbm, No. 127

Cell: 8.6091 8.6091 3.4854 Å, 90.00 90.00 90.00°
Atoms (fractional coordinates):
Li (0.0000, 0.0000, 0.0000)
Li (0.5000, 0.5000, 0.0000)
Y (0.1959, 0.3041, 0.5000)
Y (0.3041, 0.8041, 0.5000)
Y (0.6959, 0.1959, 0.5000)
Y (0.8041, 0.6959, 0.5000)
Nb (0.0975, 0.5975, 0.0000)
Nb (0.4025, 0.0975, 0.0000)
Nb (0.5975, 0.9025, 0.0000)
Nb (0.9025, 0.4025, 0.0000)


Relative energy table, unit meV/atom: P 501; Q 0


P.
# LiYNb3

Crystalline LiYNb3 at its relaxed geometry (PBE, Alexandria).

Summary:
density = 6.19 g/cm3
space-group type = Pm-3m, No. 221

Cell: 4.6490 4.6490 4.6490 Å, 90.00 90.00 90.00°
Atoms (fractional coordinates):
Li (0.0000, 0.0000, 0.0000)
Y (0.5000, 0.5000, 0.5000)
Nb (0.0000, 0.0000, 0.5000)
Nb (0.0000, 0.5000, 0.0000)
Nb (0.5000, 0.0000, 0.0000)


Q.
# LiYNb3

Crystalline LiYNb3 at its relaxed geometry (PBE, Alexandria).

Summary:
density = 4.91 g/cm3
space-group type = Pm-3m, No. 221

Cell: 5.0236 5.0236 5.0236 Å, 90.00 90.00 90.00°
Atoms (fractional coordinates):
Li (0.0000, 0.0000, 0.0000)
Y (0.5000, 0.5000, 0.5000)
Nb (0.0000, 0.5000, 0.5000)
Nb (0.5000, 0.0000, 0.5000)
Nb (0.5000, 0.5000, 0.0000)


Relative energy table, unit meV/atom: P 0; Q 1023


P.
# Li2YNb

Crystalline Li2YNb at its relaxed geometry (PBE, Alexandria).

Summary:
density = 4.08 g/cm3
space-group type = Fm-3m, No. 225

Cell: 6.8278 6.8278 6.8278 Å, 90.00 90.00 90.00°
Atoms (fractional coordinates):
Li (0.2500, 0.2500, 0.2500)
Li (0.2500, 0.2500, 0.7500)
Li (0.2500, 0.7500, 0.2500)
Li (0.2500, 0.7500, 0.7500)
Li (0.7500, 0.2500, 0.2500)
Li (0.7500, 0.2500, 0.7500)
Li (0.7500, 0.7500, 0.2500)
Li (0.7500, 0.7500, 0.7500)
Y (0.0000, 0.0000, 0.0000)
Y (0.0000, 0.5000, 0.5000)
Y (0.5000, 0.0000, 0.5000)
Y (0.5000, 0.5000, 0.0000)
Nb (0.0000, 0.0000, 0.5000)
Nb (0.0000, 0.5000, 0.0000)
Nb (0.5000, 0.0000, 0.0000)
Nb (0.5000, 0.5000, 0.5000)


Q.
# Li2YNb

Crystalline Li2YNb at its relaxed geometry (PBE, Alexandria).

Summary:
density = 3.54 g/cm3
space-group type = I-42d, No. 122

Cell: 4.0444 4.0444 22.4715 Å, 90.00 90.00 90.00°
Atoms (fractional coordinates):
Li (0.2207, 0.2500, 0.1250)
Li (0.2500, 0.7207, 0.3750)
Li (0.2500, 0.7793, 0.8750)
Li (0.2793, 0.2500, 0.6250)
Li (0.7207, 0.7500, 0.6250)
Li (0.7500, 0.2207, 0.8750)
Li (0.7500, 0.2793, 0.3750)
Li (0.7793, 0.7500, 0.1250)
Y (0.0000, 0.0000, 0.5000)
Y (0.0000, 0.5000, 0.7500)
Y (0.5000, 0.0000, 0.2500)
Y (0.5000, 0.5000, 0.0000)
Nb (0.0000, 0.0000, 0.0000)
Nb (0.0000, 0.5000, 0.2500)
Nb (0.5000, 0.0000, 0.7500)
Nb (0.5000, 0.5000, 0.5000)


Relative energy table, unit meV/atom: P 0; Q 167